{
  "formula": "ZrMn3",
  "functional": "PBE",
  "state": "optimized geometry",
  "delta_e_f_ev_per_atom": 0.185,
  "sg": "No. 71",
  "final_energy_ev_per_cell": -70.63,
  "dos_at_fermi_per_ev_atom": 1.2621,
  "lattice": [[3.058, 0.000, 0.000], [0.000, 4.304, 0.000], [0.000, 0.000, 8.569]],
  "species": ["Zr", "Zr", "Mn", "Mn", "Mn", "Mn", "Mn", "Mn"],
  "fractional_positions": [[0.000, 0.000, 0.000], [0.500, 0.500, 0.500], [0.000, 0.000, 0.500], [0.000, 0.500, 0.231], [0.000, 0.500, 0.769], [0.500, 0.000, 0.269], [0.500, 0.000, 0.731], [0.500, 0.500, 0.000]]
}

=====

{
  "formula": "ZrCoN",
  "functional": "PBE",
  "state": "optimized geometry",
  "sg": "No. 51",
  "e_form_raw_ev_per_atom": -0.916,
  "final_energy_ev_per_cell": -53.45,
  "dos_at_fermi_per_ev_atom": 0.7313,
  "lattice": [[4.508, 0.000, 0.000], [0.000, 3.662, 0.000], [0.000, 0.000, 4.604]],
  "species": ["Zr", "Zr", "Co", "Co", "N", "N"],
  "fractional_positions": [[0.250, 0.000, 0.245], [0.750, 0.000, 0.755], [0.250, 0.500, 0.685], [0.750, 0.500, 0.315], [0.250, 0.000, 0.766], [0.750, 0.000, 0.234]]
}

=====

Please write out number 2 again, unchanged.
{
  "formula": "ZrCoN",
  "functional": "PBE",
  "state": "optimized geometry",
  "sg": "No. 51",
  "e_form_raw_ev_per_atom": -0.916,
  "final_energy_ev_per_cell": -53.45,
  "dos_at_fermi_per_ev_atom": 0.7313,
  "lattice": [[4.508, 0.000, 0.000], [0.000, 3.662, 0.000], [0.000, 0.000, 4.604]],
  "species": ["Zr", "Zr", "Co", "Co", "N", "N"],
  "fractional_positions": [[0.250, 0.000, 0.245], [0.750, 0.000, 0.755], [0.250, 0.500, 0.685], [0.750, 0.500, 0.315], [0.250, 0.000, 0.766], [0.750, 0.000, 0.234]]
}